[1]
A relaxed structure of CsSiMoPC, computed with PBE.

The energy relative to the lowest polymorph listed for this composition comes out at 68 kJ/mol of formula units. The crystal system is monoclinic. As for the size of the total moment: 0.0 μB/f.u. The density of states at the Fermi level is 3.6 states/eV/cell. As for the final energy: -6.061 eV/atom. The formation energy without anion corrections is 0.288 eV/atom.

It has space group Cm (No. 8), with a = 9.878 Å, b = 4.028 Å, c = 6.943 Å, α = 90.00°, β = 97.59° and γ = 90.00°. The inequivalent atoms are Cs at (0.000, 0.000, 0.000), Si at (0.167, 0.500, 0.621), Mo at (0.305, 0.000, 0.506), P at (0.247, 0.500, 0.323) and C at (0.482, 0.000, 0.619).


[2]
A relaxed structure of CsSiMoPC, computed with PBE.

The energy relative to the lowest polymorph listed for this composition comes out at 75 kJ/mol of formula units. The crystal system is triclinic. As for the size of the total moment: 0.0 μB/f.u. The density of states at the Fermi level is 0.9 states/eV/cell. As for the final energy: -6.045 eV/atom. The formation energy without anion corrections is 0.303 eV/atom.

It has space group P1 (No. 1), with a = 3.252 Å, b = 4.604 Å, c = 7.527 Å, α = 96.85°, β = 102.28° and γ = 90.07°. The inequivalent atoms are Cs at (0.000, 0.000, 0.000), Si at (0.698, 0.582, 0.402), Mo at (0.748, 0.098, 0.505), P at (0.326, 0.448, 0.664) and C at (0.279, 0.811, 0.569).


[3]
A relaxed structure of CsSiMoPC, computed with PBE.

The energy relative to the lowest polymorph listed for this composition comes out at 0 kJ/mol of formula units. The crystal system is monoclinic. As for the size of the total moment: 0.0 μB/f.u. As for the final energy: -6.201 eV/atom. The formation energy without anion corrections is 0.147 eV/atom.

It has space group Cm (No. 8), with a = 9.048 Å, b = 3.290 Å, c = 7.633 Å, α = 90.00°, β = 95.21° and γ = 90.00°. The inequivalent atoms are Cs at (0.000, 0.000, 0.000), Si at (0.166, 0.500, 0.610), Mo at (0.385, 0.000, 0.517), P at (0.246, 0.500, 0.331) and C at (0.266, 0.000, 0.706).


[4]
A relaxed structure of CsSiMoPC, computed with PBE.

The energy relative to the lowest polymorph listed for this composition comes out at 42 kJ/mol of formula units. The crystal system is monoclinic. As for the size of the total moment: 0.0 μB/f.u. The density of states at the Fermi level is 2.2 states/eV/cell. As for the final energy: -6.115 eV/atom. The formation energy without anion corrections is 0.233 eV/atom.

It has space group Cm (No. 8), with a = 8.933 Å, b = 3.625 Å, c = 7.584 Å, α = 90.00°, β = 102.72° and γ = 90.00°. The inequivalent atoms are Cs at (0.000, 0.000, 0.000), Si at (0.372, 0.000, 0.539), Mo at (0.161, 0.500, 0.582), P at (0.276, 0.500, 0.333) and C at (0.202, 0.000, 0.689).


[5]
A relaxed structure of CsScMo2C, computed with PBE.

The crystal system is tetragonal. As for the size of the total moment: 0.0 μB/f.u. The density of states at the Fermi level is 6.7 states/eV/cell. As for the final energy: -6.553 eV/atom. The value obtained for the formation energy is 1.061 eV per atom.

It has space group P4/mmm (No. 123), with a = 4.289 Å, b = 4.289 Å, c = 5.007 Å, α = 90.00°, β = 90.00° and γ = 90.00°. The inequivalent atoms are Cs at (0.000, 0.000, 0.000), Sc at (0.500, 0.500, 0.000), Mo at (0.000, 0.500, 0.500) and C at (0.500, 0.500, 0.500).


[6]
A relaxed structure of CsTaMo2C, computed with PBE.

The crystal system is tetragonal. As for the size of the total moment: 4.8 μB/f.u. The density of states at the Fermi level is 4.4 states/eV/cell. As for the final energy: -6.562 eV/atom. The value obtained for the formation energy is 2.157 eV per atom.

It has space group P4/mmm (No. 123), with a = 5.190 Å, b = 5.190 Å, c = 4.367 Å, α = 90.00°, β = 90.00° and γ = 90.00°. The inequivalent atoms are Cs at (0.000, 0.000, 0.000), Ta at (0.500, 0.500, 0.500), Mo at (0.000, 0.500, 0.500) and C at (0.500, 0.500, 0.000).


[7]
A relaxed structure of CsCN2, computed with PBE.

The energy relative to the lowest polymorph listed for this composition comes out at 14 kJ/mol of formula units. The crystal system is orthorhombic. As for the size of the total moment: 0.3 μB/f.u. The density of states at the Fermi level is 4.5 states/eV/cell. As for the final energy: -6.599 eV/atom. The formation energy without anion corrections is 0.083 eV/atom.

It has space group Pmma (No. 51), with a = 6.974 Å, b = 4.361 Å, c = 5.768 Å, α = 90.00°, β = 90.00° and γ = 90.00°. The inequivalent atoms are Cs at (0.250, 0.000, 0.223), C at (0.250, 0.500, 0.696) and N at (0.072, 0.500, 0.704).


[8]
A relaxed structure of Cs2CN, computed with PBE.

The energy relative to the lowest polymorph listed for this composition comes out at 288 kJ/mol of formula units. The crystal system is cubic. As for the size of the total moment: 5.0 μB/f.u. The density of states at the Fermi level is 17.3 states/eV/cell. As for the final energy: -2.841 eV/atom. The formation energy without anion corrections is 1.973 eV/atom.

It has space group Fm-3m (No. 225), with a = 7.441 Å, b = 7.441 Å, c = 7.441 Å, α = 90.00°, β = 90.00° and γ = 90.00°. The inequivalent atoms are Cs at (0.250, 0.250, 0.250), C at (0.000, 0.000, 0.000) and N at (0.000, 0.000, 0.500).


[9]
A relaxed structure of Cs2CN, computed with PBE.

The energy relative to the lowest polymorph listed for this composition comes out at 0 kJ/mol of formula units. The crystal system is tetragonal. As for the size of the total moment: 0.0 μB/f.u. The density of states at the Fermi level is 10.9 states/eV/cell. As for the final energy: -3.589 eV/atom. The formation energy without anion corrections is 1.225 eV/atom.

It has space group I-42d (No. 122), with a = 12.567 Å, b = 12.567 Å, c = 3.192 Å, α = 90.00°, β = 90.00° and γ = 90.00°. The inequivalent atoms are Cs at (0.017, 0.750, 0.125), C at (0.000, 0.000, 0.000) and N at (0.000, 0.000, 0.500).


[10]
A relaxed structure of CsC3N, computed with PBE.

The crystal system is cubic. As for the size of the total moment: 0.0 μB/f.u. The density of states at the Fermi level is 5.0 states/eV/cell. As for the final energy: -3.540 eV/atom. The formation energy without anion corrections is 3.830 eV/atom.

It has space group Pm-3m (No. 221), with a = 4.016 Å, b = 4.016 Å, c = 4.016 Å, α = 90.00°, β = 90.00° and γ = 90.00°. The inequivalent atoms are Cs at (0.000, 0.000, 0.000), C at (0.000, 0.500, 0.500) and N at (0.500, 0.500, 0.500).


[11]
A relaxed structure of Cs3C2N4, computed with PBE.

The crystal system is monoclinic. As for the size of the total moment: 1.0 μB/f.u. The density of states at the Fermi level is 5.1 states/eV/cell. As for the final energy: -6.186 eV/atom. The formation energy without anion corrections is -0.152 eV/atom.

It has space group C2/m (No. 12), with a = 9.694 Å, b = 5.933 Å, c = 7.722 Å, α = 90.00°, β = 111.40° and γ = 90.00°. The inequivalent atoms are Cs at (0.000, 0.000, 0.000), Cs at (0.089, 0.500, 0.741), C at (0.233, 0.000, 0.661), N at (0.200, 0.000, 0.490) and N at (0.232, 0.500, 0.166).


[12]
A relaxed structure of CsCN2, computed with PBE.

The energy relative to the lowest polymorph listed for this composition comes out at 0 kJ/mol of formula units. The crystal system is trigonal. As for the size of the total moment: 1.0 μB/f.u. The density of states at the Fermi level is 20.7 states/eV/cell. As for the final energy: -6.634 eV/atom. The formation energy without anion corrections is 0.048 eV/atom.

It has space group R-3m (No. 166, hexagonal axes), with a = 4.7883 Å, b = 4.7883 Å, c = 17.2753 Å, α = 90.00°, β = 90.00° and γ = 120.00°. The inequivalent atoms are Cs at (0.0000, 0.0000, 0.0000), C at (0.0000, 0.0000, 0.5000) and N at (0.0000, 0.0000, 0.4284).


Which value of final energy does entry 3 give? -6.201 eV/atom